Record 1
Compound: HoZrTcHg
Source: Alexandria via LeMat-Bulk
Functional: PBE
Structure: relaxed

Properties
The calculation puts the formation energy at -0.146 eV per atom. As for the raw total energy: -97.504 eV for the cell shown. The space group is F-43m (216).

Cell lengths 6.950, 6.950, 6.950 Å; angles 90.00, 90.00, 90.00 degrees
Sites, in units of the cell vectors:
Ho 0.000 0.000 0.000
Ho 0.000 0.500 0.500
Ho 0.500 0.000 0.500
Ho 0.500 0.500 0.000
Zr 0.000 0.000 0.500
Zr 0.000 0.500 0.000
Zr 0.500 0.000 0.000
Zr 0.500 0.500 0.500
Tc 0.250 0.250 0.250
Tc 0.250 0.750 0.750
Tc 0.750 0.250 0.750
Tc 0.750 0.750 0.250
Hg 0.250 0.250 0.750
Hg 0.250 0.750 0.250
Hg 0.750 0.250 0.250
Hg 0.750 0.750 0.750



Record 2
Compound: Hf2SnHRh
Source: Alexandria via LeMat-Bulk
Functional: PBE
Structure: relaxed

Properties
As for the raw total energy: -36.820 eV for the cell shown. The space group is P4/mmm (123).

Cell lengths 4.364, 4.364, 4.136 Å; angles 90.00, 90.00, 90.00 degrees
Sites, in units of the cell vectors:
Hf 0.000 0.500 0.000
Hf 0.500 0.000 0.000
Sn 0.000 0.000 0.500
H 0.500 0.500 0.000
Rh 0.500 0.500 0.500



Record 3
Compound: Cs4GeBr5
Source: Alexandria via LeMat-Bulk
Functional: PBE
Structure: relaxed

Properties
As for the raw total energy: -29.509 eV for the cell shown. The space group is I4 (79).

Cell lengths 8.673, 8.673, 8.673 Å; angles 100.41, 100.41, 129.69 degrees
Sites, in units of the cell vectors:
Cs 0.092 0.705 0.798
Cs 0.295 0.092 0.387
Cs 0.705 0.908 0.613
Cs 0.908 0.295 0.202
Ge 0.505 0.505 0.000
Br 0.016 0.016 0.000
Br 0.243 0.417 0.657
Br 0.417 0.760 0.174
Br 0.586 0.243 0.826
Br 0.760 0.586 0.343



Record 4
Compound: LiOsRu
Source: Alexandria via LeMat-Bulk
Functional: PBE
Structure: relaxed

Properties
The calculation puts the formation energy at 0.155 eV per atom. As for the raw total energy: -87.819 eV for the cell shown. The space group is Amm2 (38). The calculation puts the polymorph energy (0 for the lowest one) at 0 meV/atom.

Cell lengths 13.518, 2.697, 4.671 Å; angles 90.00, 90.00, 90.00 degrees
Sites, in units of the cell vectors:
Li 0.167 0.000 0.000
Li 0.167 0.500 0.500
Li 0.833 0.000 0.000
Li 0.833 0.500 0.500
Os 0.000 0.000 0.333
Os 0.000 0.500 0.833
Os 0.500 0.000 0.001
Os 0.500 0.500 0.501
Ru 0.343 0.000 0.334
Ru 0.343 0.500 0.834
Ru 0.657 0.000 0.334
Ru 0.657 0.500 0.834



Record 5
Compound: ErMg3Au12
Source: Alexandria via LeMat-Bulk
Functional: PBE
Structure: relaxed

Properties
The calculation puts the formation energy at -0.428 eV per atom. As for the raw total energy: -55.516 eV for the cell shown. The space group is P4/mmm (123).

Cell lengths 4.219, 4.219, 16.564 Å; angles 90.00, 90.00, 90.00 degrees
Sites, in units of the cell vectors:
Er 0.000 0.000 0.000
Mg 0.000 0.000 0.257
Mg 0.000 0.000 0.500
Mg 0.000 0.000 0.743
Au 0.000 0.500 0.132
Au 0.000 0.500 0.378
Au 0.000 0.500 0.622
Au 0.000 0.500 0.868
Au 0.500 0.000 0.132
Au 0.500 0.000 0.378
Au 0.500 0.000 0.622
Au 0.500 0.000 0.868
Au 0.500 0.500 0.000
Au 0.500 0.500 0.255
Au 0.500 0.500 0.500
Au 0.500 0.500 0.745



Record 6
Compound: NaGa2Rh2
Source: Alexandria via LeMat-Bulk
Functional: PBE
Structure: relaxed

Properties
The calculation puts the formation energy at -0.369 eV per atom. As for the raw total energy: -47.841 eV for the cell shown. The space group is I4/mmm (139). The calculation puts the polymorph energy (0 for the lowest one) at 129 meV/atom.

Cell lengths 4.160, 4.160, 10.533 Å; angles 90.00, 90.00, 90.00 degrees
Sites, in units of the cell vectors:
Na 0.000 0.000 0.000
Na 0.500 0.500 0.500
Ga 0.000 0.000 0.376
Ga 0.000 0.000 0.624
Ga 0.500 0.500 0.124
Ga 0.500 0.500 0.876
Rh 0.000 0.500 0.250
Rh 0.000 0.500 0.750
Rh 0.500 0.000 0.250
Rh 0.500 0.000 0.750



Record 7
Compound: PrEr5Mg6
Source: Alexandria via LeMat-Bulk
Functional: PBE
Structure: relaxed

Properties
The calculation puts the formation energy at -0.073 eV per atom. As for the raw total energy: -38.038 eV for the cell shown. The space group is P2/m (10).

Cell lengths 5.354, 7.568, 8.475 Å; angles 90.00, 108.34, 90.00 degrees
Sites, in units of the cell vectors:
Pr 0.000 0.000 0.000
Er 0.000 0.500 0.000
Er 0.332 0.000 0.662
Er 0.336 0.500 0.670
Er 0.664 0.500 0.330
Er 0.668 0.000 0.338
Mg 0.168 0.254 0.337
Mg 0.168 0.746 0.337
Mg 0.500 0.254 0.000
Mg 0.500 0.746 0.000
Mg 0.832 0.254 0.663
Mg 0.832 0.746 0.663



Record 8
Compound: TcNi2
Source: Alexandria via LeMat-Bulk
Functional: PBE
Structure: relaxed

Properties
The calculation puts the formation energy at 0.247 eV per atom. As for the raw total energy: -42.374 eV for the cell shown. The space group is P6_3/mmc (194). The calculation puts the polymorph energy (0 for the lowest one) at 285 meV/atom.

Cell lengths 4.129, 4.129, 5.001 Å; angles 90.00, 90.00, 120.00 degrees
Sites, in units of the cell vectors:
Tc 0.333 0.667 0.250
Tc 0.667 0.333 0.750
Ni 0.000 0.000 0.000
Ni 0.000 0.000 0.500
Ni 0.333 0.667 0.750
Ni 0.667 0.333 0.250



Record 9
Compound: CeYRh
Source: Alexandria via LeMat-Bulk
Functional: PBE
Structure: relaxed

Properties
The calculation puts the formation energy at -0.490 eV per atom. As for the raw total energy: -84.875 eV for the cell shown. The space group is Cm (8). The calculation puts the polymorph energy (0 for the lowest one) at 40 meV/atom.

Cell lengths 11.666, 4.050, 7.360 Å; angles 90.00, 121.72, 90.00 degrees
Sites, in units of the cell vectors:
Ce 0.000 0.000 0.000
Ce 0.103 0.500 0.838
Ce 0.500 0.500 0.000
Ce 0.603 0.000 0.838
Y 0.231 0.000 0.577
Y 0.370 0.500 0.349
Y 0.731 0.500 0.577
Y 0.870 0.000 0.349
Rh 0.077 0.500 0.298
Rh 0.294 0.000 0.009
Rh 0.577 0.000 0.298
Rh 0.794 0.500 0.009



Record 10
Compound: DyErGePd
Source: Alexandria via LeMat-Bulk
Functional: PBE
Structure: relaxed

Properties
The calculation puts the formation energy at -0.816 eV per atom. As for the raw total energy: -88.964 eV for the cell shown. The space group is F-43m (216). The calculation puts the polymorph energy (0 for the lowest one) at 81 meV/atom.

Cell lengths 7.057, 7.057, 7.057 Å; angles 90.00, 90.00, 90.00 degrees
Sites, in units of the cell vectors:
Dy 0.000 0.000 0.000
Dy 0.000 0.500 0.500
Dy 0.500 0.000 0.500
Dy 0.500 0.500 0.000
Er 0.000 0.000 0.500
Er 0.000 0.500 0.000
Er 0.500 0.000 0.000
Er 0.500 0.500 0.500
Ge 0.250 0.250 0.250
Ge 0.250 0.750 0.750
Ge 0.750 0.250 0.750
Ge 0.750 0.750 0.250
Pd 0.250 0.250 0.750
Pd 0.250 0.750 0.250
Pd 0.750 0.250 0.250
Pd 0.750 0.750 0.750



Record 11
Compound: Ba3Tl9Pt2
Source: Alexandria via LeMat-Bulk
Functional: PBE
Structure: relaxed

Properties
The calculation puts the formation energy at -0.274 eV per atom. As for the raw total energy: -42.984 eV for the cell shown. The space group is Immm (71).

Cell lengths 9.780, 9.780, 9.780 Å; angles 150.89, 104.01, 83.35 degrees
Sites, in units of the cell vectors:
Ba 0.000 0.000 0.000
Ba 0.326 0.326 0.000
Ba 0.674 0.674 0.000
Tl 0.035 0.671 0.364
Tl 0.166 0.885 0.281
Tl 0.306 0.671 0.636
Tl 0.395 0.115 0.281
Tl 0.500 0.000 0.500
Tl 0.605 0.885 0.719
Tl 0.694 0.329 0.364
Tl 0.834 0.115 0.719
Tl 0.965 0.329 0.636
Pt 0.256 0.500 0.756
Pt 0.744 0.500 0.244



Record 12
Compound: PrLu2Pd
Source: Alexandria via LeMat-Bulk
Functional: PBE
Structure: relaxed

Properties
The calculation puts the formation energy at -0.462 eV per atom. As for the raw total energy: -20.864 eV for the cell shown. The space group is P4/mmm (123).

Cell lengths 3.514, 3.514, 8.578 Å; angles 90.00, 90.00, 90.00 degrees
Sites, in units of the cell vectors:
Pr 0.000 0.000 0.000
Lu 0.500 0.500 0.310
Lu 0.500 0.500 0.690
Pd 0.000 0.000 0.500



Record 13
Compound: Ga2IO
Source: Alexandria via LeMat-Bulk
Functional: PBE
Structure: relaxed

Properties
As for the raw total energy: -57.675 eV for the cell shown. The space group is I-42d (122). The calculation puts the polymorph energy (0 for the lowest one) at 0 meV/atom.

Cell lengths 6.850, 6.850, 7.735 Å; angles 90.00, 90.00, 90.00 degrees
Sites, in units of the cell vectors:
Ga 0.135 0.250 0.125
Ga 0.250 0.635 0.375
Ga 0.250 0.865 0.875
Ga 0.365 0.250 0.625
Ga 0.635 0.750 0.625
Ga 0.750 0.135 0.875
Ga 0.750 0.365 0.375
Ga 0.865 0.750 0.125
I 0.000 0.000 0.500
I 0.000 0.500 0.750
I 0.500 0.000 0.250
I 0.500 0.500 0.000
O 0.000 0.000 0.000
O 0.000 0.500 0.250
O 0.500 0.000 0.750
O 0.500 0.500 0.500



Record 14
Compound: PrDy6Sc4
Source: Alexandria via LeMat-Bulk
Functional: PBE
Structure: relaxed

Properties
The calculation puts the formation energy at 0.113 eV per atom. As for the raw total energy: -112.958 eV for the cell shown. The space group is Cmcm (63). The calculation puts the polymorph energy (0 for the lowest one) at 0 meV/atom.

Cell lengths 5.462, 5.462, 24.998 Å; angles 90.00, 90.00, 119.65 degrees
Sites, in units of the cell vectors:
Pr 0.174 0.826 0.750
Pr 0.826 0.174 0.250
Dy 0.159 0.841 0.177
Dy 0.159 0.841 0.323
Dy 0.173 0.827 0.595
Dy 0.173 0.827 0.905
Dy 0.492 0.508 0.250
Dy 0.500 0.500 0.000
Dy 0.500 0.500 0.500
Dy 0.508 0.492 0.750
Dy 0.827 0.173 0.095
Dy 0.827 0.173 0.405
Dy 0.841 0.159 0.677
Dy 0.841 0.159 0.823
Sc 0.164 0.836 0.043
Sc 0.164 0.836 0.457
Sc 0.492 0.508 0.123
Sc 0.492 0.508 0.377
Sc 0.508 0.492 0.623
Sc 0.508 0.492 0.877
Sc 0.836 0.164 0.543
Sc 0.836 0.164 0.957



Record 15
Compound: Y2RuSe
Source: Alexandria via LeMat-Bulk
Functional: PBE
Structure: relaxed

Properties
As for the raw total energy: -87.304 eV for the cell shown. The space group is R-3m (166).

Cell lengths 3.857, 3.857, 22.124 Å; angles 90.00, 90.00, 120.00 degrees
Sites, in units of the cell vectors:
Y 0.000 0.000 0.246
Y 0.000 0.000 0.754
Y 0.333 0.667 0.421
Y 0.333 0.667 0.912
Y 0.667 0.333 0.088
Y 0.667 0.333 0.579
Ru 0.000 0.000 0.500
Ru 0.333 0.667 0.167
Ru 0.667 0.333 0.833
Se 0.000 0.000 0.000
Se 0.333 0.667 0.667
Se 0.667 0.333 0.333



Record 16
Compound: ScCuSbTe2
Source: Alexandria via LeMat-Bulk
Functional: PBE
Structure: relaxed

Properties
As for the raw total energy: -20.100 eV for the cell shown. The space group is P4/mmm (123). The calculation puts the polymorph energy (0 for the lowest one) at 0 meV/atom.

Cell lengths 5.222, 5.222, 4.962 Å; angles 90.00, 90.00, 90.00 degrees
Sites, in units of the cell vectors:
Sc 0.000 0.000 0.000
Cu 0.500 0.500 0.500
Sb 0.500 0.500 0.000
Te 0.000 0.500 0.500
Te 0.500 0.000 0.500



Record 17
Compound: Cu2TcAs
Source: Alexandria via LeMat-Bulk
Functional: PBE
Structure: relaxed

Properties
The calculation puts the formation energy at 0.229 eV per atom. As for the raw total energy: -22.291 eV for the cell shown. The space group is P2/m (10).

Cell lengths 2.719, 4.331, 4.894 Å; angles 90.00, 104.81, 90.00 degrees
Sites, in units of the cell vectors:
Cu 0.120 0.000 0.253
Cu 0.880 0.000 0.747
Tc 0.500 0.500 0.000
As 0.000 0.500 0.500



Record 18
Compound: YHoEr2
Source: Alexandria via LeMat-Bulk
Functional: PBE
Structure: relaxed

Properties
The calculation puts the formation energy at 0.024 eV per atom. As for the raw total energy: -20.070 eV for the cell shown. The space group is P4/mmm (123). The calculation puts the polymorph energy (0 for the lowest one) at 20 meV/atom.

Cell lengths 3.526, 3.526, 9.986 Å; angles 90.00, 90.00, 90.00 degrees
Sites, in units of the cell vectors:
Y 0.000 0.000 0.000
Ho 0.000 0.000 0.500
Er 0.500 0.500 0.252
Er 0.500 0.500 0.748



Record 19
Compound: Mn2AlAgH
Source: Alexandria via LeMat-Bulk
Functional: PBE
Structure: relaxed

Properties
As for the raw total energy: -27.926 eV for the cell shown. The space group is P4/mmm (123).

Cell lengths 3.813, 3.813, 4.122 Å; angles 90.00, 90.00, 90.00 degrees
Sites, in units of the cell vectors:
Mn 0.000 0.500 0.000
Mn 0.500 0.000 0.000
Al 0.000 0.000 0.500
Ag 0.500 0.500 0.500
H 0.500 0.500 0.000



Record 20
Compound: Tm6Tl3Rh
Source: Alexandria via LeMat-Bulk
Functional: PBE
Structure: relaxed

Properties
The calculation puts the formation energy at -0.365 eV per atom. As for the raw total energy: -89.852 eV for the cell shown. The space group is Pnnm (58). The calculation puts the polymorph energy (0 for the lowest one) at 0 meV/atom.

Cell lengths 8.909, 11.569, 5.144 Å; angles 90.00, 90.00, 90.00 degrees
Sites, in units of the cell vectors:
Tm 0.011 0.236 0.000
Tm 0.157 0.083 0.500
Tm 0.188 0.415 0.500
Tm 0.312 0.915 0.000
Tm 0.343 0.583 0.000
Tm 0.489 0.736 0.500
Tm 0.511 0.264 0.500
Tm 0.657 0.417 0.000
Tm 0.688 0.085 0.000
Tm 0.812 0.585 0.500
Tm 0.843 0.917 0.500
Tm 0.989 0.764 0.000
Tl 0.000 0.500 0.000
Tl 0.155 0.737 0.500
Tl 0.345 0.237 0.000
Tl 0.500 0.000 0.500
Tl 0.655 0.763 0.000
Tl 0.845 0.263 0.500
Rh 0.000 0.000 0.000
Rh 0.500 0.500 0.500